# CaOsRh2

A relaxed CaOsRh2 crystal (PBE, the Alexandria database).

## Properties
* magnetic moment: 0.0 μB/f.u.
* energy of formation: 0.462 eV/atom
* D(E_F): 0.869 states/eV per atom

Lattice parameters (Å, degrees): 4.526 4.526 4.526 60.00 60.00 60.00
Element x y z (fractional)
Ca 0.500 0.500 0.500
Rh 0.000 0.000 0.000
Rh 0.750 0.750 0.750
Os 0.250 0.250 0.250